A geometry-optimized LiInW2O structure. Source: the Alexandria database, functional GGA+U.

POSCAR file:
```
LiInW2O
1.0
-1.863 3.227 -1.714
-4.582 -1.581 2.003
0.715 2.209 3.381
W O Li In
2 1 1 1
direct
0.500 0.000 0.000
0.000 0.000 0.500
0.000 0.000 0.000
0.500 0.500 0.500
0.000 0.500 0.000
```

Computed properties:
Volume   88.2 Å³/f.u.
Total energy   -4.32 eV per atom